Entry 1:
{
  "formula": "KCdMo2Pd",
  "functional": "GGA-PBE",
  "state": "optimized geometry",
  "lattice": [[5.372, 0.000, 0.000], [0.000, 5.180, 0.000], [0.000, 0.000, 5.372]],
  "species": ["Pd", "Cd", "Mo", "Mo", "K"],
  "fractional_positions": [[0.000, 0.500, 0.000], [0.000, 0.000, 0.000], [0.500, 0.000, 0.000], [0.000, 0.000, 0.500], [0.500, 0.500, 0.500]],
  "e_tot_ev_per_atom": -4.011,
  "volume_a3_per_cell": 149.49,
  "ef_ev_per_atom": 1.76,
  "sg": "No. 123",
  "n_ef_per_ev_fu": 3.17
}

Entry 2:
{
  "formula": "KCdMoPt2",
  "functional": "GGA-PBE",
  "state": "optimized geometry",
  "lattice": [[-3.759, 2.867, -1.178], [-2.969, -1.818, 5.051], [2.012, 3.665, 2.501]],
  "species": ["Pt", "Pt", "Cd", "K", "Mo"],
  "fractional_positions": [[0.000, 0.000, 0.500], [0.500, 0.000, 0.000], [0.500, 0.500, 0.500], [0.000, 0.500, 0.000], [0.000, 0.000, 0.000]],
  "e_tot_ev_per_atom": -4.001,
  "volume_a3_per_cell": 145.59,
  "ef_ev_per_atom": 0.98,
  "sg": "No. 123",
  "n_ef_per_ev_fu": 4.95
}

Entry 3:
{
  "formula": "K2CdN",
  "functional": "GGA-PBE",
  "state": "optimized geometry",
  "lattice": [[-0.313, -3.457, 4.172], [2.192, 1.318, 4.787], [-3.203, 1.136, 4.231]],
  "species": ["Cd", "K", "K", "N"],
  "fractional_positions": [[0.500, 0.500, 0.500], [0.250, 0.250, 0.250], [0.750, 0.750, 0.750], [0.000, 0.000, 0.000]],
  "e_tot_ev_per_atom": -2.074,
  "e_above_lowest_polymorph_ev_per_atom": 0.496,
  "raw_formation_energy_ev_per_atom": 0.784,
  "volume_a3_per_cell": 113.04,
  "sg": "No. 225",
  "n_ef_per_ev_fu": 3.26
}

Entry 4:
{
  "formula": "KCdN",
  "functional": "GGA-PBE",
  "state": "optimized geometry",
  "lattice": [[8.855, 3.910, 1.516], [6.700, 8.548, 0.772], [6.431, 6.920, 4.988]],
  "species": ["N", "N", "K", "K", "Cd", "Cd"],
  "fractional_positions": [[0.707, 0.577, 0.083], [0.811, 0.746, 0.885], [0.040, 0.170, 0.434], [0.477, 0.153, 0.534], [0.949, 0.815, 0.140], [0.569, 0.508, 0.828]],
  "e_tot_ev_per_atom": -3.506,
  "raw_formation_energy_ev_per_atom": -0.060,
  "volume_a3_per_cell": 205.94,
  "sg": "No. 2",
  "n_ef_per_ev_fu": 1.66
}

Entry 5:
{
  "formula": "KCdN",
  "functional": "GGA-PBE",
  "state": "optimized geometry",
  "lattice": [[-3.740, -4.178, 1.368], [2.721, -1.548, 2.712], [-4.929, 7.416, 9.178]],
  "species": ["K", "K", "K", "K", "Cd", "Cd", "Cd", "Cd", "N", "N", "N", "N"],
  "fractional_positions": [[0.435, 0.250, 0.168], [0.065, 0.750, 0.668], [0.565, 0.750, 0.832], [0.935, 0.250, 0.332], [0.587, 0.250, 0.575], [0.413, 0.750, 0.425], [0.913, 0.750, 0.075], [0.087, 0.250, 0.925], [0.953, 0.250, 0.115], [0.453, 0.250, 0.385], [0.047, 0.750, 0.885], [0.547, 0.750, 0.615]],
  "e_tot_ev_per_atom": -3.062,
  "raw_formation_energy_ev_per_atom": 0.384,
  "volume_a3_per_cell": 305.77,
  "sg": "No. 62",
  "n_ef_per_ev_fu": 1.65
}

Entry 6:
{
  "formula": "KCd3N",
  "functional": "GGA-PBE",
  "state": "optimized geometry",
  "lattice": [[-3.967, 5.719, 1.582], [-5.206, -2.441, -4.229], [-2.847, -3.504, 5.528]],
  "species": ["Cd", "Cd", "Cd", "N", "K"],
  "fractional_positions": [[0.500, 0.000, 0.000], [0.000, 0.000, 0.500], [0.000, 0.500, 0.000], [0.500, 0.500, 0.500], [0.000, 0.000, 0.000]],
  "e_tot_ev_per_atom": -1.049,
  "e_above_lowest_polymorph_ev_per_atom": 0.797,
  "raw_formation_energy_ev_per_atom": 1.384,
  "volume_a3_per_cell": 363.65,
  "sg": "No. 221",
  "n_ef_per_ev_fu": 14.36
}

Entry 7:
{
  "formula": "KCdN",
  "functional": "GGA-PBE",
  "state": "optimized geometry",
  "lattice": [[-2.856, 6.861, 1.072], [-3.639, -1.730, 1.380], [2.440, 0.008, 6.445]],
  "species": ["Cd", "Cd", "Cd", "Cd", "K", "K", "K", "K", "N", "N", "N", "N"],
  "fractional_positions": [[0.644, 0.250, 0.414], [0.144, 0.250, 0.086], [0.356, 0.750, 0.586], [0.856, 0.750, 0.914], [0.956, 0.750, 0.349], [0.456, 0.750, 0.151], [0.544, 0.250, 0.849], [0.044, 0.250, 0.651], [0.174, 0.750, 0.888], [0.326, 0.250, 0.388], [0.826, 0.250, 0.112], [0.674, 0.750, 0.612]],
  "e_tot_ev_per_atom": -2.978,
  "raw_formation_energy_ev_per_atom": 0.468,
  "volume_a3_per_cell": 220.38,
  "sg": "No. 62",
  "n_ef_per_ev_fu": 0.63
}

Entry 8:
{
  "formula": "KCdN",
  "functional": "GGA-PBE",
  "state": "optimized geometry",
  "lattice": [[-0.565, -4.659, -2.043], [3.632, 0.832, 3.509], [-2.599, -0.965, 2.920]],
  "species": ["K", "Cd", "N"],
  "fractional_positions": [[0.000, 0.000, 0.500], [0.667, 0.333, 0.000], [0.667, 0.333, 0.500]],
  "e_tot_ev_per_atom": -2.959,
  "raw_formation_energy_ev_per_atom": 0.487,
  "volume_a3_per_cell": 91.36,
  "sg": "No. 187",
  "n_ef_per_ev_fu": 1.92
}

Entry 9:
{
  "formula": "K2CdN",
  "functional": "GGA-PBE",
  "state": "optimized geometry",
  "lattice": [[11.788, 0.000, 0.000], [0.000, 11.788, 0.000], [5.894, 5.894, 2.120]],
  "species": ["Cd", "Cd", "N", "N", "K", "K", "K", "K"],
  "fractional_positions": [[0.000, 0.000, 0.000], [0.750, 0.250, 0.500], [0.250, 0.750, 0.500], [0.500, 0.500, 0.000], [0.340, 0.625, 0.250], [0.410, 0.125, 0.250], [0.875, 0.660, 0.750], [0.375, 0.590, 0.750]],
  "e_tot_ev_per_atom": -2.570,
  "e_above_lowest_polymorph_ev_per_atom": 0.000,
  "raw_formation_energy_ev_per_atom": 0.289,
  "volume_a3_per_cell": 294.59,
  "sg": "No. 122",
  "n_ef_per_ev_fu": 1.46
}

Entry 10:
{
  "formula": "K2CdN2",
  "functional": "GGA-PBE",
  "state": "optimized geometry",
  "lattice": [[-6.192, -5.706, -3.892], [1.777, -6.367, 6.508], [-2.549, 1.375, 2.041]],
  "species": ["K", "K", "K", "K", "N", "N", "N", "N", "Cd", "Cd"],
  "fractional_positions": [[0.728, 0.228, 0.500], [0.228, 0.272, 0.500], [0.772, 0.728, 0.500], [0.272, 0.772, 0.500], [0.956, 0.544, 0.000], [0.044, 0.456, 0.000], [0.456, 0.956, 0.000], [0.544, 0.044, 0.000], [0.500, 0.500, 0.000], [0.000, 0.000, 0.000]],
  "e_tot_ev_per_atom": -3.941,
  "raw_formation_energy_ev_per_atom": 0.011,
  "volume_a3_per_cell": 304.89,
  "sg": "No. 127",
  "n_ef_per_ev_fu": 4.50
}

Entry 11:
{
  "formula": "KCdN2",
  "functional": "GGA-PBE",
  "state": "optimized geometry",
  "lattice": [[2.251, 0.000, 7.583], [-1.125, 1.949, 7.583], [-1.125, -1.949, 7.583]],
  "species": ["N", "N", "K", "Cd"],
  "fractional_positions": [[0.090, 0.090, 0.090], [0.910, 0.910, 0.910], [0.500, 0.500, 0.500], [0.000, 0.000, 0.000]],
  "e_tot_ev_per_atom": -3.287,
  "raw_formation_energy_ev_per_atom": 1.379,
  "volume_a3_per_cell": 99.81,
  "sg": "No. 166",
  "n_ef_per_ev_fu": 1.47
}

Entry 12:
{
  "formula": "KCdN2",
  "functional": "GGA-PBE",
  "state": "optimized geometry",
  "lattice": [[2.155, 0.000, 6.987], [-1.077, 1.866, 6.987], [-1.077, -1.866, 6.987]],
  "species": ["K", "N", "N", "Cd"],
  "fractional_positions": [[0.000, 0.000, 0.000], [0.879, 0.879, 0.879], [0.121, 0.121, 0.121], [0.500, 0.500, 0.500]],
  "e_tot_ev_per_atom": -3.289,
  "raw_formation_energy_ev_per_atom": 1.377,
  "volume_a3_per_cell": 84.27,
  "sg": "No. 166",
  "n_ef_per_ev_fu": 0.76
}

Entry 13:
{
  "formula": "KCd3N",
  "functional": "GGA-PBE",
  "state": "optimized geometry",
  "lattice": [[-2.012, 3.622, 2.696], [2.535, -1.536, 3.955], [3.736, 2.993, -1.233]],
  "species": ["K", "Cd", "Cd", "Cd", "N"],
  "fractional_positions": [[0.500, 0.500, 0.500], [0.000, 0.000, 0.500], [0.500, 0.000, 0.000], [0.000, 0.500, 0.000], [0.000, 0.000, 0.000]],
  "e_tot_ev_per_atom": -1.847,
  "e_above_lowest_polymorph_ev_per_atom": 0.000,
  "raw_formation_energy_ev_per_atom": 0.587,
  "volume_a3_per_cell": 120.77,
  "sg": "No. 221",
  "n_ef_per_ev_fu": 3.09
}

Entry 14:
{
  "formula": "KCdN",
  "functional": "GGA-PBE",
  "state": "optimized geometry",
  "lattice": [[4.702, 5.926, 0.000], [0.000, 5.926, 4.680], [4.702, 0.000, 4.680]],
  "species": ["Cd", "Cd", "Cd", "Cd", "N", "N", "N", "N", "K", "K", "K", "K"],
  "fractional_positions": [[0.375, 0.375, 0.875], [0.875, 0.375, 0.375], [0.375, 0.875, 0.375], [0.375, 0.375, 0.375], [0.731, 0.269, 0.269], [0.481, 0.019, 0.019], [0.269, 0.731, 0.731], [0.019, 0.481, 0.481], [0.125, 0.125, 0.875], [0.875, 0.875, 0.625], [0.625, 0.625, 0.875], [0.875, 0.875, 0.125]],
  "e_tot_ev_per_atom": -3.089,
  "raw_formation_energy_ev_per_atom": 0.357,
  "volume_a3_per_cell": 260.83,
  "sg": "No. 70",
  "n_ef_per_ev_fu": 0.00
}

Entry 15:
{
  "formula": "KCdN",
  "functional": "GGA-PBE",
  "state": "optimized geometry",
  "lattice": [[3.623, 0.003, 0.005], [-0.003, 4.110, -0.006], [-1.830, 2.598, 10.183]],
  "species": ["Cd", "Cd", "N", "N", "K", "K"],
  "fractional_positions": [[0.558, 0.400, 0.843], [0.119, 0.824, 0.965], [0.358, 0.697, 0.443], [0.319, 0.526, 0.366], [0.930, 0.066, 0.588], [0.747, 0.157, 0.221]],
  "e_tot_ev_per_atom": -3.505,
  "raw_formation_energy_ev_per_atom": -0.059,
  "volume_a3_per_cell": 151.71,
  "sg": "No. 2",
  "n_ef_per_ev_fu": 1.85
}

Entry 16:
{
  "formula": "KCdN2",
  "functional": "GGA-PBE",
  "state": "optimized geometry",
  "lattice": [[0.138, 3.935, 2.556], [-2.302, -1.896, 3.044], [8.450, -1.244, 5.635]],
  "species": ["N", "N", "N", "N", "Cd", "Cd", "K", "K"],
  "fractional_positions": [[0.791, 0.866, 0.914], [0.209, 0.134, 0.086], [0.209, 0.864, 0.085], [0.791, 0.136, 0.915], [0.000, 0.500, 0.500], [0.500, 0.000, 0.500], [0.661, 0.499, 0.185], [0.339, 0.501, 0.815]],
  "e_tot_ev_per_atom": -4.705,
  "raw_formation_energy_ev_per_atom": -0.039,
  "volume_a3_per_cell": 199.58,
  "sg": "No. 2",
  "n_ef_per_ev_fu": 2.44
}

Entry 17:
{
  "formula": "KCdN",
  "functional": "GGA-PBE",
  "state": "optimized geometry",
  "lattice": [[3.096, -3.428, 0.000], [3.096, 3.428, 0.000], [0.000, 0.000, 7.064]],
  "species": ["Cd", "Cd", "N", "N", "K", "K"],
  "fractional_positions": [[0.000, 0.000, 0.500], [0.000, 0.000, 0.000], [0.844, 0.156, 0.750], [0.156, 0.844, 0.250], [0.452, 0.548, 0.750], [0.548, 0.452, 0.250]],
  "e_tot_ev_per_atom": -3.084,
  "raw_formation_energy_ev_per_atom": 0.362,
  "volume_a3_per_cell": 149.94,
  "sg": "No. 63"
}

Entry 18:
{
  "formula": "KCdN2O",
  "functional": "GGA-PBE",
  "state": "optimized geometry",
  "lattice": [[-1.604, -4.861, -0.288], [4.036, -1.158, -2.941], [2.521, -1.062, 3.878]],
  "species": ["O", "K", "N", "N", "Cd"],
  "fractional_positions": [[0.000, 0.000, 0.500], [0.000, 0.000, 0.000], [0.000, 0.500, 0.000], [0.500, 0.000, 0.000], [0.500, 0.500, 0.500]],
  "e_tot_ev_per_atom": -2.680,
  "raw_formation_energy_ev_per_atom": 2.044,
  "volume_a3_per_cell": 124.74,
  "sg": "No. 123",
  "n_ef_per_ev_fu": 4.53
}

Entry 19:
{
  "formula": "KCdNO2",
  "functional": "GGA-PBE",
  "state": "optimized geometry",
  "lattice": [[-2.522, 2.674, -2.902], [-3.058, 0.852, 3.444], [2.555, 3.839, 1.318]],
  "species": ["O", "O", "N", "K", "Cd"],
  "fractional_positions": [[0.000, 0.500, 0.000], [0.500, 0.000, 0.000], [0.000, 0.000, 0.500], [0.000, 0.000, 0.000], [0.500, 0.500, 0.500]],
  "e_tot_ev_per_atom": -2.680,
  "raw_formation_energy_ev_per_atom": 1.371,
  "volume_a3_per_cell": 105.20,
  "sg": "No. 123",
  "n_ef_per_ev_fu": 2.65
}

Entry 20:
{
  "formula": "KCdN2O",
  "functional": "GGA-PBE",
  "state": "optimized geometry",
  "lattice": [[4.501, 0.000, 0.000], [0.000, 4.501, 0.000], [0.000, 0.000, 4.445]],
  "species": ["K", "Cd", "N", "N", "O"],
  "fractional_positions": [[0.500, 0.500, 0.500], [0.000, 0.000, 0.000], [0.500, 0.000, 0.000], [0.000, 0.500, 0.000], [0.000, 0.000, 0.500]],
  "e_tot_ev_per_atom": -3.635,
  "raw_formation_energy_ev_per_atom": 1.089,
  "volume_a3_per_cell": 90.04,
  "sg": "No. 123",
  "n_ef_per_ev_fu": 3.52
}